No. 1
An optimized crystal structure of Tb2Ge4PdRh3, computed with GGA-PBE.

As for the volume: 181 Å³/cell. As for the uncorrected energy: -6.329 eV per atom. For the density of states at the Fermi level, the calculation gives 0.531 states/eV per atom. For the total magnetization, the calculation gives 0.0 μB per formula unit.

The structure belongs to space group P-4m2 (No. 115); the cell edges are 4.200, 4.200 and 10.264 Å and the angles 90.00°, 90.00° and 90.00°. The asymmetric unit holds Tb at (0.000, 0.500, 0.241), Ge at (0.000, 0.000, 0.000), Ge at (0.000, 0.500, 0.637), Ge at (0.500, 0.500, 0.000), Pd at (0.000, 0.000, 0.500), Rh at (0.000, 0.500, 0.872) and Rh at (0.500, 0.500, 0.500).



No. 2
An optimized crystal structure of Mn2Os5, computed with GGA-PBE.

As for the volume: 375 Å³/cell. As for the uncorrected energy: -10.650 eV per atom. For the density of states at the Fermi level, the calculation gives 0.934 states/eV per atom. For the total magnetization, the calculation gives 0.0 μB per formula unit.

The structure belongs to space group C2/c (No. 15); the cell edges are 11.747, 4.671 and 6.872 Å and the angles 90.00°, 95.42° and 90.00°. The asymmetric unit holds Mn at (0.070, 0.163, 0.107), Os at (0.000, 0.326, 0.750), Os at (0.139, 0.328, 0.462) and Os at (0.214, 0.164, 0.822).



No. 3
An optimized crystal structure of Al2IrPb, computed with GGA-PBE.

As for the volume: 234 Å³/cell. As for the uncorrected energy: -5.106 eV per atom. For the density of states at the Fermi level, the calculation gives 0.436 states/eV per atom. For the total magnetization, the calculation gives 0.0 μB per formula unit.

The structure belongs to space group R-3m (No. 166, hexagonal axes); the cell edges are 3.1141, 3.1141 and 27.8907 Å and the angles 90.00°, 90.00° and 120.00°. The asymmetric unit holds Al at (0.0000, 0.0000, 0.2319), Ir at (0.0000, 0.0000, 0.5000) and Pb at (0.0000, 0.0000, 0.0000).



Number 1: DFT formation energy -0.831 eV per atom, mass density 9.39 g/cm3. Number 2: DFT formation energy -0.008 eV per atom, mass density 18.77 g/cm3. Number 3: DFT formation energy -0.093 eV per atom, mass density 9.64 g/cm3.